A plane-wave DFT calculation with PBE+U was carried out for a relaxed NiHO2F crystal.

Summary:
Total energy: -3.564 eV per atom
Total magnetization: 2.29 μB/f.u.

Lattice parameters (Å, degrees): 3.0144 3.0144 4.3377 90.00 90.00 90.00
With the nearest neighbours (Å) after each atom.
Space group P4/mmm (No. 123)
Asymmetric unit:
Ni: 0.0000 0.0000 0.0000 x1  4 F 2.13
H: 0.5000 0.5000 0.5000 x1  4 O 1.51
O: 0.0000 0.5000 0.5000 x2  2 H 1.51
F: 0.5000 0.5000 0.0000 x1  4 Ni 2.13, 2 H 2.17